# 1
The following is a DFT calculation (PBE) of a geometry-optimized InTc2Ni structure.

a = 7.3491 Å, b = 7.3491 Å, c = 5.7517 Å
α = 50.29°, β = 50.29°, γ = 90.00°
With the nearest neighbours (Å) after each atom.
Fractional coordinates of all 8 atoms:
Ni1 0.5000 0.5000 0.0000  4 Tc 2.41, 2 In 2.47
Ni2 0.2500 0.7500 0.5000  4 Tc 2.41, 2 In 2.47
Tc1 0.5709 0.1250 0.2500  2 Ni 2.41, 2 Tc 2.59
Tc2 0.1791 0.6250 0.2500  2 Ni 2.41, 2 Tc 2.59
Tc3 0.3750 0.4291 0.7500  2 Ni 2.41, 2 Tc 2.59
Tc4 0.8750 0.8209 0.7500  2 Ni 2.41, 2 Tc 2.59
In1 0.0000 0.0000 0.0000  2 Ni 2.47
In2 0.7500 0.2500 0.5000  2 Ni 2.47

Output
Crystal system: tetragonal
SG: I-42d, No. 122
Final energy (eV/atom): -6.6388
DFT formation energy (eV/atom): 0.674

# 2
The following is a DFT calculation (PBE) of a geometry-optimized InTc2Ni structure.

a = 8.9620 Å, b = 8.9620 Å, c = 8.9620 Å
α = 18.18°, β = 18.18°, γ = 18.18°
With the nearest neighbours (Å) after each atom.
Fractional coordinates of all 4 atoms:
In1 0.2500 0.2500 0.2500  6 In 2.83, 6 Tc 2.91
Ni1 0.7500 0.7500 0.7500  6 Tc 2.59, 6 Ni 2.83
Tc1 0.0075 0.0075 0.0075  3 Ni 2.59, 6 Tc 2.83
Tc2 0.4925 0.4925 0.4925  3 Ni 2.59, 6 Tc 2.83

Output
Crystal system: trigonal
SG: R-3m, No. 166
Final energy (eV/atom): -6.8994
DFT formation energy (eV/atom): 0.413

# 3
The following is a DFT calculation (PBE) of a geometry-optimized InTc2Ni structure.

a = 4.8759 Å, b = 4.8759 Å, c = 4.6399 Å
α = 78.10°, β = 78.10°, γ = 34.28°
With the nearest neighbours (Å) after each atom.
Fractional coordinates of all 4 atoms:
In1 0.7500 0.7500 0.7500  4 Ni 2.73, 6 Tc 2.80-2.88, 2 In 2.87
Ni1 0.2500 0.2500 0.2500  6 Tc 2.66-2.84, 4 In 2.73, 2 Ni 2.87
Tc1 0.9885 0.9885 0.0279  2 Tc 2.56, 3 Ni 2.66-2.84, 1 In 2.80
Tc2 0.5115 0.5115 0.4721  2 Tc 2.56, 3 Ni 2.66-2.84, 1 In 2.80

Output
Crystal system: monoclinic
SG: C2/m, No. 12
Final energy (eV/atom): -7.0856
DFT formation energy (eV/atom): 0.227

# 4
The following is a DFT calculation (PBE) of a geometry-optimized InTcNi3 structure.

a = 4.5130 Å, b = 4.5130 Å, c = 4.5130 Å
α = 90.00°, β = 90.00°, γ = 90.00°
With the nearest neighbours (Å) after each atom.
Fractional coordinates of all 5 atoms:
Ni1 0.0000 0.5000 0.0000  2 Tc 2.26
Ni2 0.0000 0.0000 0.5000  2 Tc 2.26
Ni3 0.5000 0.0000 0.0000  2 Tc 2.26
Tc1 0.0000 0.0000 0.0000  6 Ni 2.26
In1 0.5000 0.5000 0.5000  12 Ni 3.19

Output
Crystal system: cubic
SG: Pm-3m, No. 221
Final energy (eV/atom): -5.0107
DFT formation energy (eV/atom): 1.079

# 5
The following is a DFT calculation (PBE) of a geometry-optimized In2TcNi2 structure.

a = 7.2527 Å, b = 7.2527 Å, c = 2.9609 Å
α = 90.00°, β = 90.00°, γ = 90.00°
With the nearest neighbours (Å) after each atom.
Fractional coordinates of all 10 atoms:
Ni1 0.3792 0.8792 0.0000  1 Ni 2.48, 6 In 2.55-2.65
Ni2 0.8792 0.6208 0.0000  1 Ni 2.48, 6 In 2.55-2.65
Ni3 0.6208 0.1208 0.0000  1 Ni 2.48, 6 In 2.55-2.65
Ni4 0.1208 0.3792 0.0000  1 Ni 2.48, 6 In 2.55-2.65
Tc1 0.0000 0.0000 0.0000  4 Ni 2.89, 2 Tc 2.96, 8 In 3.06
Tc2 0.5000 0.5000 0.0000  4 Ni 2.89, 2 Tc 2.96, 8 In 3.06
In1 0.1763 0.6763 0.5000  6 Ni 2.55-2.65
In2 0.6763 0.8237 0.5000  6 Ni 2.55-2.65
In3 0.8237 0.3237 0.5000  6 Ni 2.55-2.65
In4 0.3237 0.1763 0.5000  6 Ni 2.55-2.65

Output
Crystal system: tetragonal
SG: P4/mbm, No. 127
Final energy (eV/atom): -5.2523
DFT formation energy (eV/atom): 0.229

# 6
The following is a DFT calculation (PBE) of a geometry-optimized InTc2Ni structure.

a = 5.2137 Å, b = 5.2137 Å, c = 5.2137 Å
α = 143.95°, β = 132.89°, γ = 60.72°
With the nearest neighbours (Å) after each atom.
Fractional coordinates of all 4 atoms:
In1 0.7500 0.2500 0.5000  4 Ni 2.63-2.64, 4 Tc 2.84
Ni1 0.2500 0.7500 0.5000  4 In 2.63-2.64, 4 Tc 2.70
Tc1 0.0094 0.0094 0.0000  4 Tc 2.64, 2 Ni 2.70, 2 In 2.84
Tc2 0.4906 0.4906 0.0000  4 Tc 2.64, 2 Ni 2.70, 2 In 2.84

Output
Crystal system: orthorhombic
SG: Immm, No. 71
Final energy (eV/atom): -7.0690
DFT formation energy (eV/atom): 0.244

# 7
The following is a DFT calculation (PBE) of a geometry-optimized InTc4Ni structure.

a = 5.1473 Å, b = 5.1473 Å, c = 5.1473 Å
α = 60.00°, β = 60.00°, γ = 60.00°
With the nearest neighbours (Å) after each atom.
Fractional coordinates of all 6 atoms:
In1 0.2500 0.2500 0.2500  12 Tc 3.02, 4 Ni 3.15
Tc1 0.6260 0.6260 0.1221  6 Tc 2.55-2.59
Tc2 0.6260 0.1221 0.6260  6 Tc 2.55-2.59
Tc3 0.6260 0.6260 0.6260  6 Tc 2.55-2.59
Tc4 0.1221 0.6260 0.6260  6 Tc 2.55-2.59
Ni1 0.0000 0.0000 0.0000  12 Tc 3.02, 4 In 3.15

Output
Crystal system: cubic
SG: F-43m, No. 216
Final energy (eV/atom): -7.8552
DFT formation energy (eV/atom): 0.475

# 8
The following is a DFT calculation (PBE) of a geometry-optimized InTc2Ni structure.

a = 3.2805 Å, b = 4.1056 Å, c = 4.5003 Å
α = 90.00°, β = 90.00°, γ = 90.00°
With the nearest neighbours (Å) after each atom.
Fractional coordinates of all 4 atoms:
In1 0.5000 0.0000 0.5000  4 Ni 2.63, 4 Tc 2.78
Ni1 0.0000 0.5000 0.5000  4 In 2.63, 4 Tc 2.78
Tc1 0.0000 0.0000 0.0000  4 Tc 2.63, 4 In 2.78
Tc2 0.5000 0.5000 0.0000  4 Tc 2.63, 4 Ni 2.78

Output
Crystal system: orthorhombic
SG: Pmmm, No. 47
Final energy (eV/atom): -7.0600
DFT formation energy (eV/atom): 0.253

# 9
The following is a DFT calculation (PBE) of a geometry-optimized Ti2InTcNi structure.

a = 4.5029 Å, b = 4.5419 Å, c = 4.5029 Å
α = 90.00°, β = 90.00°, γ = 90.00°
With the nearest neighbours (Å) after each atom.
Fractional coordinates of all 5 atoms:
Ni1 0.0000 0.0000 0.0000  4 Ti 2.25, 2 Tc 2.27
Ti1 0.0000 0.0000 0.5000  2 Ni 2.25
Ti2 0.5000 0.0000 0.0000  2 Ni 2.25
Tc1 0.0000 0.5000 0.0000  2 Ni 2.27
In1 0.5000 0.5000 0.5000  4 Tc 3.18, 8 Ti 3.20

Output
Crystal system: tetragonal
SG: P4/mmm, No. 123
Final energy (eV/atom): -6.5295
DFT formation energy (eV/atom): 0.406

# 10
The following is a DFT calculation (PBE) of a geometry-optimized TiIn2TcNi structure.

a = 4.6739 Å, b = 4.6090 Å, c = 4.6739 Å
α = 90.00°, β = 90.00°, γ = 90.00°
With the nearest neighbours (Å) after each atom.
Fractional coordinates of all 5 atoms:
Ni1 0.0000 0.0000 0.0000  2 Tc 2.30, 4 In 2.34
Ti1 0.5000 0.5000 0.5000  8 In 3.28, 4 Tc 3.30
Tc1 0.0000 0.5000 0.0000  2 Ni 2.30
In1 0.0000 0.0000 0.5000  2 Ni 2.34
In2 0.5000 0.0000 0.0000  2 Ni 2.34

Output
Crystal system: tetragonal
SG: P4/mmm, No. 123
Final energy (eV/atom): -5.1601
DFT formation energy (eV/atom): 0.744

# 11
The following is a DFT calculation (PBE) of a geometry-optimized Zr2InTcNi structure.

a = 4.9134 Å, b = 5.1219 Å, c = 4.9134 Å
α = 90.00°, β = 90.00°, γ = 90.00°
With the nearest neighbours (Å) after each atom.
Fractional coordinates of all 5 atoms:
Ni1 0.5000 0.5000 0.5000  4 In 3.47, 8 Zr 3.55
Tc1 0.0000 0.0000 0.0000  4 Zr 2.46, 2 In 2.56
Zr1 0.0000 0.0000 0.5000  2 Tc 2.46
Zr2 0.5000 0.0000 0.0000  2 Tc 2.46
In1 0.0000 0.5000 0.0000  2 Tc 2.56

Output
Crystal system: tetragonal
SG: P4/mmm, No. 123
Final energy (eV/atom): -6.4952
DFT formation energy (eV/atom): 0.701

# 12
The following is a DFT calculation (PBE) of a geometry-optimized In2NiTe structure.

a = 8.0671 Å, b = 8.0671 Å, c = 8.0671 Å
α = 26.72°, β = 26.72°, γ = 26.72°
With the nearest neighbours (Å) after each atom.
Fractional coordinates of all 4 atoms:
In1 0.9832 0.9832 0.9832  3 Ni 2.65
In2 0.5168 0.5168 0.5168  3 Ni 2.65
Ni1 0.2500 0.2500 0.2500  6 In 2.65
Te1 0.7500 0.7500 0.7500  6 In 3.18

Output
ΔE_f (raw) (eV per atom): 0.07
Crystal system: trigonal
SG: R-3m, No. 166
Final energy (eV/atom): -3.5319